# 1
Entry from the Alexandria database: Th2TlAg after structural relaxation (PBE).

It has space group P4/mmm (No. 123), with a = 3.4662 Å, b = 3.4662 Å, c = 9.1145 Å, α = 90.00°, β = 90.00° and γ = 90.00°. Symmetry generates all atoms from Th at (0.0000, 0.0000, 0.2366), Tl at (0.5000, 0.5000, 0.5000) and Ag at (0.5000, 0.5000, 0.0000).

The formation enthalpy at 0 K comes out at -0.085 eV/atom. The value obtained for the density of states at the Fermi level is 4.86 states/eV per cell.

***

# 2
Entry from the Alexandria database: SrInIrPt2 after structural relaxation (PBE).

It has space group P4/mmm (No. 123), with a = 5.0830 Å, b = 5.0830 Å, c = 4.9643 Å, α = 90.00°, β = 90.00° and γ = 90.00°. Symmetry generates all atoms from Sr at (0.0000, 0.0000, 0.0000), In at (0.5000, 0.5000, 0.0000), Ir at (0.5000, 0.5000, 0.5000) and Pt at (0.0000, 0.5000, 0.5000).

The formation enthalpy at 0 K comes out at 0.093 eV/atom. The value obtained for the density of states at the Fermi level is 5.97 states/eV per cell.

***

# 3
Entry from the Alexandria database: Cs2Ba2USe6 after structural relaxation (PBE).

It has space group C2/m (No. 12), with a = 8.0860 Å, b = 13.5160 Å, c = 8.8394 Å, α = 90.00°, β = 107.96° and γ = 90.00°. Symmetry generates all atoms from Cs at (0.0000, 0.1755, 0.0000), Ba at (0.0000, 0.3361, 0.5000), U at (0.0000, 0.0000, 0.5000), Se at (0.2041, 0.1420, 0.6872) and Se at (0.2097, 0.0000, 0.3109).

For the formation energy from raw total energies, the calculation gives -1.490 eV/atom.

***

# 4
Entry from the Alexandria database: Tm2MgS4 after structural relaxation (PBE).

It has space group Fd-3m (No. 227, origin choice 2), with a = 11.0587 Å, b = 11.0587 Å, c = 11.0587 Å, α = 90.00°, β = 90.00° and γ = 90.00°. Symmetry generates all atoms from Tm at (0.0000, 0.0000, 0.0000), Mg at (0.1250, 0.1250, 0.6250) and S at (0.0055, 0.0055, 0.2445).

The value obtained for the energy above the lowest structure with this stoichiometry is 0 meV/atom. The value obtained for the density of states at the Fermi level is 0.00 states/eV per cell. For the formation energy from raw total energies, the calculation gives -1.902 eV/atom.

***

# 5
Entry from the Alexandria database: Hf5ReRu4 after structural relaxation (PBE).

It has space group P4/mmm (No. 123), with a = 3.2440 Å, b = 3.2440 Å, c = 16.3120 Å, α = 90.00°, β = 90.00° and γ = 90.00°. Symmetry generates all atoms from Hf at (0.0000, 0.0000, 0.0000), Hf at (0.0000, 0.0000, 0.2004), Hf at (0.0000, 0.0000, 0.4004), Re at (0.5000, 0.5000, 0.5000), Ru at (0.5000, 0.5000, 0.0989) and Ru at (0.5000, 0.5000, 0.2961).

The formation enthalpy at 0 K comes out at -0.738 eV/atom. The value obtained for the density of states at the Fermi level is 2.40 states/eV per cell.

***

# 6
Entry from the Alexandria database: CdCoCu2 after structural relaxation (PBE).

It has space group F-43m (No. 216), with a = 6.0362 Å, b = 6.0362 Å, c = 6.0362 Å, α = 90.00°, β = 90.00° and γ = 90.00°. Symmetry generates all atoms from Cd at (0.0000, 0.0000, 0.0000), Co at (0.2500, 0.2500, 0.2500), Cu at (0.0000, 0.0000, 0.5000) and Cu at (0.2500, 0.2500, 0.7500).

The formation enthalpy at 0 K comes out at 0.283 eV/atom. The value obtained for the density of states at the Fermi level is 25.82 states/eV per cell.

***

# 7
Entry from the Alexandria database: Tm2TlCdO6 after structural relaxation (PBE).

It has space group R3 (No. 146, hexagonal axes), with a = 5.7372 Å, b = 5.7372 Å, c = 15.3065 Å, α = 90.00°, β = 90.00° and γ = 120.00°. Symmetry generates all atoms from Tm at (0.0000, 0.0000, 0.0000), Tm at (0.0000, 0.0000, 0.4989), Tl at (0.0000, 0.0000, 0.2861), Cd at (0.0000, 0.0000, 0.7868), O at (0.0427, 0.3643, 0.5652) and O at (0.0470, 0.6812, 0.0646).

The value obtained for the density of states at the Fermi level is 22.71 states/eV per cell. For the formation energy from raw total energies, the calculation gives -2.076 eV/atom.

***

# 8
Entry from the Alexandria database: La3SmGe2N after structural relaxation (PBE).

It has space group Immm (No. 71), with a = 4.8333 Å, b = 4.8715 Å, c = 16.0758 Å, α = 90.00°, β = 90.00° and γ = 90.00°. Symmetry generates all atoms from La at (0.0000, 0.0000, 0.0000), La at (0.0000, 0.5000, 0.1709), Sm at (0.0000, 0.0000, 0.5000), Ge at (0.0000, 0.5000, 0.3646) and N at (0.0000, 0.5000, 0.0000).

The value obtained for the density of states at the Fermi level is 9.29 states/eV per cell. For the formation energy from raw total energies, the calculation gives -0.911 eV/atom.

***

# 9
Entry from the Alexandria database: HoMn3Ge3 after structural relaxation (PBE).

It has space group P6_3/m (No. 176), with a = 8.1200 Å, b = 8.1200 Å, c = 4.0647 Å, α = 90.00°, β = 90.00° and γ = 120.00°. Symmetry generates all atoms from Ho at (0.3333, 0.6667, 0.2500), Mn at (0.0506, 0.1933, 0.2500) and Ge at (0.0882, 0.3878, 0.7500).

The formation enthalpy at 0 K comes out at -0.218 eV/atom. The value obtained for the energy above the lowest structure with this stoichiometry is 0 meV/atom. The value obtained for the density of states at the Fermi level is 12.38 states/eV per cell.

***

# 10
Entry from the Alexandria database: Ba2HAu after structural relaxation (PBE).

It has space group R3m (No. 160, hexagonal axes), with a = 4.4006 Å, b = 4.4006 Å, c = 22.9034 Å, α = 90.00°, β = 90.00° and γ = 120.00°. Symmetry generates all atoms from Ba at (0.0000, 0.0000, 0.0000), Ba at (0.0000, 0.0000, 0.1861), H at (0.0000, 0.0000, 0.5874) and Au at (0.0000, 0.0000, 0.7599).

The value obtained for the energy above the lowest structure with this stoichiometry is 88 meV/atom. The value obtained for the density of states at the Fermi level is 8.11 states/eV per cell.

***

# 11
Entry from the Alexandria database: SbBrO after structural relaxation (PBE).

It has space group Pm (No. 6), with a = 4.0349 Å, b = 3.4049 Å, c = 5.9962 Å, α = 90.00°, β = 101.89° and γ = 90.00°. Symmetry generates all atoms from Sb at (0.0000, 0.0000, 0.0000), Br at (0.8124, 0.0000, 0.5664) and O at (0.2923, 0.5000, 0.0129).

The value obtained for the energy above the lowest structure with this stoichiometry is 270 meV/atom. For the formation energy from raw total energies, the calculation gives -0.766 eV/atom.

***

# 12
Entry from the Alexandria database: Mn2Te6Ru after structural relaxation (PBE).

It has space group P-31m (No. 162), with a = 6.6494 Å, b = 6.6494 Å, c = 6.0291 Å, α = 90.00°, β = 90.00° and γ = 120.00°. Symmetry generates all atoms from Mn at (0.3333, 0.6667, 0.0000), Te at (0.0000, 0.3325, 0.7498) and Ru at (0.0000, 0.0000, 0.0000).

The value obtained for the density of states at the Fermi level is 5.23 states/eV per cell. For the formation energy from raw total energies, the calculation gives -0.182 eV/atom.

***

# 13
Entry from the Alexandria database: TcSbPt2 after structural relaxation (PBE).

It has space group F-43m (No. 216), with a = 6.4560 Å, b = 6.4560 Å, c = 6.4560 Å, α = 90.00°, β = 90.00° and γ = 90.00°. Symmetry generates all atoms from Tc at (0.0000, 0.0000, 0.0000), Sb at (0.2500, 0.2500, 0.2500), Pt at (0.0000, 0.0000, 0.5000) and Pt at (0.2500, 0.2500, 0.7500).

The value obtained for the density of states at the Fermi level is 19.42 states/eV per cell. For the formation energy from raw total energies, the calculation gives 0.069 eV/atom.

***

# 14
Entry from the Alexandria database: Ba2UMnTe6 after structural relaxation (PBE).

It has space group I4/m (No. 87), with a = 7.6491 Å, b = 7.6491 Å, c = 12.0637 Å, α = 90.00°, β = 90.00° and γ = 90.00°. Symmetry generates all atoms from Ba at (0.0000, 0.5000, 0.2500), U at (0.0000, 0.0000, 0.0000), Mn at (0.0000, 0.0000, 0.5000), Te at (0.0000, 0.0000, 0.2484) and Te at (0.1645, 0.6836, 0.5000).

The value obtained for the density of states at the Fermi level is 9.76 states/eV per cell. For the formation energy from raw total energies, the calculation gives -0.909 eV/atom.

***

# 15
Entry from the Alexandria database: Zr2VSb after structural relaxation (PBE).

It has space group I-42d (No. 122), with a = 7.7098 Å, b = 7.7098 Å, c = 5.9110 Å, α = 90.00°, β = 90.00° and γ = 90.00°. Symmetry generates all atoms from Zr at (0.2332, 0.2500, 0.1250), V at (0.0000, 0.0000, 0.0000) and Sb at (0.0000, 0.0000, 0.5000).

The value obtained for the density of states at the Fermi level is 17.34 states/eV per cell. For the formation energy from raw total energies, the calculation gives 0.250 eV/atom.

***

# 16
Entry from the Alexandria database: YNiPd3 after structural relaxation (PBE).

It has space group Pm-3m (No. 221), with a = 4.6175 Å, b = 4.6175 Å, c = 4.6175 Å, α = 90.00°, β = 90.00° and γ = 90.00°. Symmetry generates all atoms from Y at (0.0000, 0.0000, 0.0000), Ni at (0.5000, 0.5000, 0.5000) and Pd at (0.0000, 0.5000, 0.5000).

The formation enthalpy at 0 K comes out at -0.017 eV/atom. The value obtained for the energy above the lowest structure with this stoichiometry is 0 meV/atom. The value obtained for the density of states at the Fermi level is 6.43 states/eV per cell.

***

# 17
Entry from the Alexandria database: LiTaCdSb2 after structural relaxation (PBE).

It has space group P4/mmm (No. 123), with a = 5.3215 Å, b = 5.3215 Å, c = 5.5138 Å, α = 90.00°, β = 90.00° and γ = 90.00°. Symmetry generates all atoms from Li at (0.0000, 0.0000, 0.0000), Ta at (0.0000, 0.0000, 0.5000), Cd at (0.5000, 0.5000, 0.0000) and Sb at (0.0000, 0.5000, 0.5000).

The value obtained for the density of states at the Fermi level is 5.26 states/eV per cell. For the formation energy from raw total energies, the calculation gives 0.565 eV/atom.

***

# 18
Entry from the Alexandria database: Pr12Nd5Sm after structural relaxation (PBE).

It has space group Cmmm (No. 65), with a = 15.6917 Å, b = 15.7010 Å, c = 5.2376 Å, α = 90.00°, β = 90.00° and γ = 90.00°. Symmetry generates all atoms from Pr at (0.0000, 0.1656, 0.0000), Pr at (0.0000, 0.3336, 0.5000), Pr at (0.1664, 0.1659, 0.5000), Pr at (0.1667, 0.3337, 0.0000), Nd at (0.0000, 0.5000, 0.0000), Nd at (0.1663, 0.0000, 0.0000), Nd at (0.1666, 0.5000, 0.5000) and Sm at (0.0000, 0.0000, 0.5000).

The formation enthalpy at 0 K comes out at 0.011 eV/atom. The value obtained for the density of states at the Fermi level is 59.26 states/eV per cell.

***

# 19
Entry from the Alexandria database: EuCdHg4 after structural relaxation (PBE).

It has space group F-43m (No. 216), with a = 8.6669 Å, b = 8.6669 Å, c = 8.6669 Å, α = 90.00°, β = 90.00° and γ = 90.00°. Symmetry generates all atoms from Eu at (0.0000, 0.0000, 0.0000), Cd at (0.2500, 0.2500, 0.7500) and Hg at (0.1248, 0.1248, 0.3752).

The formation enthalpy at 0 K comes out at -0.152 eV/atom. The value obtained for the density of states at the Fermi level is 16.80 states/eV per cell.

***

# 20
Entry from the Alexandria database: BeSi2Mo2 after structural relaxation (PBE).

It has space group I4/mmm (No. 139), with a = 3.9275 Å, b = 3.9275 Å, c = 10.5944 Å, α = 90.00°, β = 90.00° and γ = 90.00°. Symmetry generates all atoms from Be at (0.0000, 0.0000, 0.0000), Si at (0.0000, 0.0000, 0.3955) and Mo at (0.0000, 0.5000, 0.2500).

The value obtained for the energy above the lowest structure with this stoichiometry is 657 meV/atom. The value obtained for the density of states at the Fermi level is 7.71 states/eV per cell. For the formation energy from raw total energies, the calculation gives 0.412 eV/atom.

***

# 21
Entry from the Alexandria database: Pr8Pd2Pt after structural relaxation (PBE).

It has space group C2/m (No. 12), with a = 18.7543 Å, b = 5.2905 Å, c = 6.9014 Å, α = 90.00°, β = 107.87° and γ = 90.00°. Symmetry generates all atoms from Pr at (0.0277, 0.0000, 0.2930), Pr at (0.0915, 0.5000, 0.9611), Pr at (0.1721, 0.5000, 0.5053), Pr at (0.2021, 0.0000, 0.8462), Pd at (0.1721, 0.0000, 0.2428) and Pt at (0.0000, 0.5000, 0.5000).

The formation enthalpy at 0 K comes out at -0.454 eV/atom. The value obtained for the energy above the lowest structure with this stoichiometry is 0 meV/atom. The value obtained for the density of states at the Fermi level is 22.93 states/eV per cell.

***

# 22
Entry from the Alexandria database: LaYTl after structural relaxation (PBE).

It has space group P3m1 (No. 156), with a = 5.3613 Å, b = 5.3613 Å, c = 3.8697 Å, α = 90.00°, β = 90.00° and γ = 120.00°. Symmetry generates all atoms from La at (0.0000, 0.0000, 0.0000), Y at (0.3333, 0.6667, 0.5295) and Tl at (0.6667, 0.3333, 0.4351).

The formation enthalpy at 0 K comes out at -0.197 eV/atom. The value obtained for the energy above the lowest structure with this stoichiometry is 92 meV/atom. The value obtained for the density of states at the Fermi level is 2.01 states/eV per cell.

***

# 23
Entry from the Alexandria database: Sm2Y3Sc3 after structural relaxation (PBE).

It has space group Immm (No. 71), with a = 4.8515 Å, b = 4.9530 Å, c = 19.6963 Å, α = 90.00°, β = 90.00° and γ = 90.00°. Symmetry generates all atoms from Sm at (0.0000, 0.0000, 0.2489), Y at (0.0000, 0.0000, 0.0000), Y at (0.0000, 0.5000, 0.1211), Sc at (0.0000, 0.0000, 0.5000) and Sc at (0.0000, 0.5000, 0.3774).

The formation enthalpy at 0 K comes out at 0.057 eV/atom. The value obtained for the energy above the lowest structure with this stoichiometry is 23 meV/atom. The value obtained for the density of states at the Fermi level is 27.00 states/eV per cell.

***

# 24
Entry from the Alexandria database: La2Ni3Sb4Ir after structural relaxation (PBE).

It has space group P-4m2 (No. 115), with a = 4.5546 Å, b = 4.5546 Å, c = 10.1292 Å, α = 90.00°, β = 90.00° and γ = 90.00°. Symmetry generates all atoms from La at (0.0000, 0.5000, 0.2427), Ni at (0.0000, 0.0000, 0.0000), Ni at (0.0000, 0.5000, 0.6183), Sb at (0.0000, 0.0000, 0.5000), Sb at (0.0000, 0.5000, 0.8668), Sb at (0.5000, 0.5000, 0.5000) and Ir at (0.5000, 0.5000, 0.0000).

The value obtained for the density of states at the Fermi level is 6.19 states/eV per cell. For the formation energy from raw total energies, the calculation gives -0.675 eV/atom.

***

no.,magnetization (μB per cell)
1,0.00
2,0.76
3,0.00
4,0.00
5,0.00
6,2.98
7,3.28
8,0.00
9,0.00
10,0.41
11,0.00
12,5.48
13,1.18
14,9.96
15,9.62
16,0.73
17,0.98
18,0.00
19,28.75
20,0.00
21,0.00
22,0.00
23,0.00
24,0.00